(1)
# Tb4NdHo5 (PBE, optimized geometry)
# Energy ... -4.32 eV per atom
# D(E_F) ... 1.43 states/eV/atom
data_Tb4NdHo5
_symmetry_space_group_name_H-M 'I 4'
_symmetry_Int_Tables_number 79
_cell_length_a 10.2163
_cell_length_b 10.2163
_cell_length_c 6.2604
_cell_angle_alpha 90.00
_cell_angle_beta 90.00
_cell_angle_gamma 90.00
loop_
_symmetry_equiv_pos_as_xyz
'x,y,z'
'-y,x,z'
'-x,-y,z'
'y,-x,z'
'x+1/2,y+1/2,z+1/2'
'-y+1/2,x+1/2,z+1/2'
'-x+1/2,-y+1/2,z+1/2'
'y+1/2,-x+1/2,z+1/2'
loop_
_atom_site_label
_atom_site_type_symbol
_atom_site_fract_x
_atom_site_fract_y
_atom_site_fract_z
_atom_site_occupancy
Tb1 Tb 0.0491 0.6505 0.0000 1
Nd1 Nd 0.0000 0.0000 0.7682 1
Ho1 Ho 0.0000 0.0000 0.2264 1
Ho2 Ho 0.1468 0.7675 0.4957 1

(2)
# Tb7NdHo3 (PBE, optimized geometry)
# Energy ... -4.49 eV per atom
# D(E_F) ... 1.46 states/eV/atom
data_Tb7NdHo3
_symmetry_space_group_name_H-M 'P -1'
_symmetry_Int_Tables_number 2
_cell_length_a 5.5593
_cell_length_b 6.9672
_cell_length_c 9.8869
_cell_angle_alpha 70.23
_cell_angle_beta 89.99
_cell_angle_gamma 89.95
loop_
_symmetry_equiv_pos_as_xyz
'x,y,z'
'-x,-y,-z'
loop_
_atom_site_label
_atom_site_type_symbol
_atom_site_fract_x
_atom_site_fract_y
_atom_site_fract_z
_atom_site_occupancy
Tb1 Tb 0.0000 0.0000 0.0000 1
Tb2 Tb 0.0001 0.4232 0.1684 1
Tb3 Tb 0.4999 0.1471 0.7099 1
Tb4 Tb 0.5001 0.3253 0.3571 1
Nd1 Nd 0.0000 0.0000 0.5000 1
Ho1 Ho 0.0000 0.5000 0.5000 1
Ho2 Ho 0.4999 0.2774 0.0028 1

no.,formation energy (eV/atom),total magnetization (μB per cell),polymorph energy (0 for the lowest one) (meV/atom)
1,0.2999,0.00,291
2,0.1379,0.00,0